The following is a DFT calculation (GGA-PBE) of a relaxed structure of AlNi5As2.

Calculated values
Total magnetization   0.00 μB/f.u.
V   13.0 A^3/atom
Calculated formation energy   -0.334 eV/atom

Cell and atoms, written as CIF:
```
data_AlNi5As2
_space_group_name_H-M_alt 'I m m m'
_space_group_IT_number 71
_space_group_name_Hall '-I 2 2'
_cell_length_a 3.655
_cell_length_b 5.061
_cell_length_c 11.216
_cell_angle_alpha 90.00
_cell_angle_beta 90.00
_cell_angle_gamma 90.00
loop_
_atom_site_label
_atom_site_type_symbol
_atom_site_fract_x
_atom_site_fract_y
_atom_site_fract_z
_atom_site_occupancy
Al1 Al 0.000 0.000 0.000 1
Ni1 Ni 0.000 0.250 0.385 1
Ni2 Ni 0.000 0.500 0.000 1
As1 As 0.000 0.500 0.209 1
```